First-principles (GGA-PBE) data for an optimized crystal structure of LiLaCoSe2, as listed in Alexandria via LeMat-Bulk.

Cell and atoms, written as extended XYZ:
```
5
Lattice="4.615 0.000 0.000 0.000 4.615 0.000 0.000 0.000 4.851" Properties=species:S:1:pos:R:3 pbc="T T T"
Li 0.000 0.000 0.000
La 0.000 0.000 2.426
Co 2.308 2.308 2.426
Se 0.000 2.308 0.000
Se 2.308 0.000 0.000
```

Properties
E_form (uncorrected): 0.62 eV per formula unit
Space-group type: No. 123

***

First-principles (GGA-PBE) data for an optimized crystal structure of LiLa2CoSn, as listed in Alexandria via LeMat-Bulk.

Cell and atoms, written as extended XYZ:
```
5
Lattice="5.330 0.000 0.000 0.000 5.330 0.000 0.000 0.000 4.948" Properties=species:S:1:pos:R:3 pbc="T T T"
Li 0.000 0.000 0.000
La 0.000 2.665 2.474
La 2.665 0.000 2.474
Co 2.665 2.665 2.474
Sn 2.665 2.665 0.000
```

Properties
Space-group type: No. 123
E above lowest polymorph: 0.0083 eV/atom

***

First-principles (GGA-PBE) data for an optimized crystal structure of LiLa2CoSn, as listed in Alexandria via LeMat-Bulk.

Cell and atoms, written as extended XYZ:
```
5
Lattice="5.222 0.000 0.000 0.000 5.222 0.000 0.000 0.000 4.802" Properties=species:S:1:pos:R:3 pbc="T T T"
Li 0.000 0.000 0.000
La 0.000 2.611 2.401
La 2.611 0.000 2.401
Co 0.000 0.000 2.401
Sn 2.611 2.611 0.000
```

Properties
Space-group type: No. 123
E above lowest polymorph: 0.0000 eV/atom

***

First-principles (GGA-PBE) data for an optimized crystal structure of SrLiLa2Co, as listed in Alexandria via LeMat-Bulk.

Cell and atoms, written as extended XYZ:
```
5
Lattice="5.263 0.000 0.000 0.000 5.263 0.000 0.000 0.000 5.806" Properties=species:S:1:pos:R:3 pbc="T T T"
Sr 0.000 0.000 0.000
Li 2.632 2.632 0.000
La 0.000 2.632 2.903
La 2.632 0.000 2.903
Co 2.632 2.632 2.903
```

Properties
Space-group type: No. 123
E above lowest polymorph: 0.0423 eV/atom

***

First-principles (GGA-PBE) data for an optimized crystal structure of SrLiLa2Co, as listed in Alexandria via LeMat-Bulk.

Cell and atoms, written as extended XYZ:
```
5
Lattice="5.276 0.000 0.000 0.000 5.276 0.000 0.000 0.000 6.149" Properties=species:S:1:pos:R:3 pbc="T T T"
Sr 0.000 0.000 0.000
Li 2.638 2.638 0.000
La 0.000 2.638 3.074
La 2.638 0.000 3.074
Co 0.000 0.000 3.074
```

Properties
Space-group type: No. 123
E above lowest polymorph: 0.0000 eV/atom

***

First-principles (GGA-PBE) data for an optimized crystal structure of LiLaCo2Tc, as listed in Alexandria via LeMat-Bulk.

Cell and atoms, written as extended XYZ:
```
5
Lattice="4.527 0.000 0.000 0.000 4.527 0.000 0.000 0.000 4.621" Properties=species:S:1:pos:R:3 pbc="T T T"
Li 0.000 0.000 0.000
La 0.000 0.000 2.311
Co 0.000 2.264 2.311
Co 2.264 0.000 2.311
Tc 2.264 2.264 0.000
```

Properties
Space-group type: No. 123
Total energy: -4.708 eV/atom

***

Copy entry 1 word for word.
First-principles (GGA-PBE) data for an optimized crystal structure of LiLaCoSe2, as listed in Alexandria via LeMat-Bulk.

Cell and atoms, written as extended XYZ:
```
5
Lattice="4.615 0.000 0.000 0.000 4.615 0.000 0.000 0.000 4.851" Properties=species:S:1:pos:R:3 pbc="T T T"
Li 0.000 0.000 0.000
La 0.000 0.000 2.426
Co 2.308 2.308 2.426
Se 0.000 2.308 0.000
Se 2.308 0.000 0.000
```

Properties
E_form (uncorrected): 0.62 eV per formula unit
Space-group type: No. 123